Density functional theory data (GGA-PBE) for crystalline Ba2PdAu at its relaxed geometry.

It has space group Immm (No. 71), with a = 3.633 Å, b = 6.028 Å, c = 11.840 Å, α = 90.00°, β = 90.00° and γ = 90.00°. The asymmetric unit holds Ba at (0.000, 0.000, 0.240), Pd at (0.000, 0.000, 0.000) and Au at (0.000, 0.000, 0.500).

Its volume is 32.413 A^3/atom. For the formation energy, the calculation gives 41 kJ per mole of atoms. The crystal system is orthorhombic. The density of states at the Fermi level comes out at 0.9555 states/eV/atom.